1.
AlBi2S: optimized geometry, PBEsol.

Unit cell a=5.079 b=5.079 c=5.079 alpha=60.00 beta=60.00 gamma=60.00
Sites, in units of the cell vectors:
1 Al 0.000 0.000 0.000
2 Bi 0.250 0.250 0.250
3 Bi 0.750 0.750 0.750
4 S 0.500 0.500 0.500

Output
uncorrected formation energy: 0.1567 eV per atom
E: -4.105 eV per atom
density of states at the Fermi level: 0.6303 states/eV/atom
magnetic moment: 0.00 μB per formula unit

2.
AlBiS2: optimized geometry, PBEsol.

Unit cell a=8.398 b=8.398 c=8.398 alpha=24.04 beta=24.04 gamma=24.04
Sites, in units of the cell vectors:
1 Al 0.000 0.000 0.000
2 Bi 0.500 0.500 0.500
3 S 0.387 0.387 0.387
4 S 0.613 0.613 0.613

Output
uncorrected formation energy: -0.7985 eV per atom
E: -5.085 eV per atom
density of states at the Fermi level: 0.1869 states/eV/atom
magnetic moment: 0.00 μB per formula unit

3.
Al2BiSb: optimized geometry, PBEsol.

Unit cell a=7.672 b=7.672 c=7.672 alpha=131.78 beta=131.78 gamma=70.57
Sites, in units of the cell vectors:
1 Al 0.115 0.625 0.990
2 Al 0.375 0.365 0.490
3 Al 0.635 0.125 0.010
4 Al 0.875 0.885 0.510
5 Bi 0.250 0.750 0.500
6 Bi 0.500 0.500 0.000
7 Sb 0.000 0.000 0.000
8 Sb 0.750 0.250 0.500

Output
uncorrected formation energy: 0.0105 eV per atom
E: -4.246 eV per atom
magnetic moment: 0.00 μB per formula unit

4.
Sc3AlBi: optimized geometry, PBEsol.

Unit cell a=5.311 b=5.311 c=5.311 alpha=90.00 beta=90.00 gamma=90.00
Sites, in units of the cell vectors:
1 Sc 0.000 0.000 0.500
2 Sc 0.000 0.500 0.000
3 Sc 0.500 0.000 0.000
4 Al 0.500 0.500 0.500
5 Bi 0.000 0.000 0.000

Output
E: -5.225 eV per atom
E_form: 0.413 eV per atom
density of states at the Fermi level: 0.6903 states/eV/atom
magnetic moment: 0.00 μB per formula unit

5.
YAl2BiSe: optimized geometry, PBEsol.

Unit cell a=5.292 b=5.292 c=5.860 alpha=90.00 beta=90.00 gamma=90.00
Sites, in units of the cell vectors:
1 Y 0.000 0.000 0.000
2 Al 0.000 0.500 0.500
3 Al 0.500 0.000 0.500
4 Bi 0.000 0.000 0.500
5 Se 0.500 0.500 0.000

Output
uncorrected formation energy: 0.5990 eV per atom
E: -4.029 eV per atom
density of states at the Fermi level: 0.5096 states/eV/atom
magnetic moment: 0.00 μB per formula unit

6.
Sr2AlBi2: optimized geometry, PBEsol.

Unit cell a=9.468 b=9.468 c=3.776 alpha=90.00 beta=90.00 gamma=90.00
Sites, in units of the cell vectors:
1 Sr 0.135 0.365 0.000
2 Sr 0.365 0.865 0.000
3 Sr 0.635 0.135 0.000
4 Sr 0.865 0.635 0.000
5 Al 0.000 0.000 0.000
6 Al 0.500 0.500 0.000
7 Bi 0.167 0.667 0.500
8 Bi 0.333 0.167 0.500
9 Bi 0.667 0.833 0.500
10 Bi 0.833 0.333 0.500

Output
E: -3.561 eV per atom
E_form: -0.293 eV per atom
density of states at the Fermi level: 0.1810 states/eV/atom
magnetic moment: 0.00 μB per formula unit

7.
Sr3AlBi: optimized geometry, PBEsol.

Unit cell a=6.237 b=6.237 c=6.237 alpha=90.00 beta=90.00 gamma=90.00
Sites, in units of the cell vectors:
1 Sr 0.000 0.000 0.500
2 Sr 0.000 0.500 0.000
3 Sr 0.500 0.000 0.000
4 Al 0.500 0.500 0.500
5 Bi 0.000 0.000 0.000

Output
E: -2.780 eV per atom
E_form: -0.001 eV per atom
density of states at the Fermi level: 1.1936 states/eV/atom
magnetic moment: 0.00 μB per formula unit

8.
TaAl3Bi: optimized geometry, PBEsol.

Unit cell a=5.003 b=5.003 c=5.003 alpha=90.00 beta=90.00 gamma=90.00
Sites, in units of the cell vectors:
1 Ta 0.000 0.000 0.000
2 Al 0.000 0.000 0.500
3 Al 0.000 0.500 0.000
4 Al 0.500 0.000 0.000
5 Bi 0.500 0.500 0.500

Output
E: -4.963 eV per atom
E_form: 0.859 eV per atom
energy above the lowest structure with this stoichiometry: 0 meV/atom
density of states at the Fermi level: 0.6326 states/eV/atom
magnetic moment: 0.00 μB per formula unit

9.
TaAl3Bi: optimized geometry, PBEsol.

Unit cell a=5.180 b=5.180 c=5.180 alpha=90.00 beta=90.00 gamma=90.00
Sites, in units of the cell vectors:
1 Ta 0.000 0.000 0.000
2 Al 0.000 0.500 0.500
3 Al 0.500 0.000 0.500
4 Al 0.500 0.500 0.000
5 Bi 0.500 0.500 0.500

Output
E: -3.916 eV per atom
E_form: 1.906 eV per atom
energy above the lowest structure with this stoichiometry: 1047 meV/atom
density of states at the Fermi level: 0.9591 states/eV/atom
magnetic moment: 2.21 μB per formula unit

10.
Al3TcBi: optimized geometry, PBEsol.

Unit cell a=4.773 b=4.773 c=4.773 alpha=90.00 beta=90.00 gamma=90.00
Sites, in units of the cell vectors:
1 Al 0.000 0.000 0.500
2 Al 0.000 0.500 0.000
3 Al 0.500 0.000 0.000
4 Tc 0.000 0.000 0.000
5 Bi 0.500 0.500 0.500

Output
E: -5.174 eV per atom
E_form: 0.392 eV per atom
density of states at the Fermi level: 1.1037 states/eV/atom
magnetic moment: 0.26 μB per formula unit

11.
AlTc2Bi: optimized geometry, PBEsol.

Unit cell a=9.570 b=9.570 c=9.570 alpha=155.22 beta=155.22 gamma=35.33
Sites, in units of the cell vectors:
1 Al 0.000 0.000 0.000
2 Al 0.750 0.250 0.500
3 Tc 0.034 0.625 0.909
4 Tc 0.375 0.284 0.409
5 Tc 0.716 0.125 0.091
6 Tc 0.875 0.966 0.591
7 Bi 0.250 0.750 0.500
8 Bi 0.500 0.500 0.000

Output
E: -7.124 eV per atom
E_form: 0.604 eV per atom
density of states at the Fermi level: 0.9361 states/eV/atom
magnetic moment: 0.00 μB per formula unit

12.
ZrAl2TcBi: optimized geometry, PBEsol.

Unit cell a=4.755 b=4.755 c=4.996 alpha=90.00 beta=90.00 gamma=90.00
Sites, in units of the cell vectors:
1 Zr 0.000 0.000 0.000
2 Al 0.000 0.500 0.500
3 Al 0.500 0.000 0.500
4 Tc 0.000 0.000 0.500
5 Bi 0.500 0.500 0.000

Output
E: -6.327 eV per atom
E_form: 0.238 eV per atom
density of states at the Fermi level: 0.8199 states/eV/atom
magnetic moment: 0.00 μB per formula unit

13.
Al2BiTe: optimized geometry, PBEsol.

Unit cell a=5.110 b=5.110 c=5.110 alpha=60.00 beta=60.00 gamma=60.00
Sites, in units of the cell vectors:
1 Al 0.250 0.250 0.250
2 Al 0.750 0.750 0.750
3 Bi 0.000 0.000 0.000
4 Te 0.500 0.500 0.500

Output
uncorrected formation energy: 0.2003 eV per atom
E: -3.798 eV per atom
density of states at the Fermi level: 0.6423 states/eV/atom
magnetic moment: 0.00 μB per formula unit

14.
TiAl3Bi: optimized geometry, PBEsol.

Unit cell a=4.958 b=4.958 c=4.958 alpha=90.00 beta=90.00 gamma=90.00
Sites, in units of the cell vectors:
1 Ti 0.000 0.000 0.000
2 Al 0.000 0.000 0.500
3 Al 0.000 0.500 0.000
4 Al 0.500 0.000 0.000
5 Bi 0.500 0.500 0.500

Output
E: -4.236 eV per atom
E_form: 0.741 eV per atom
density of states at the Fermi level: 1.1648 states/eV/atom
magnetic moment: 0.20 μB per formula unit

15.
YAl2Bi: optimized geometry, PBEsol.

Unit cell a=6.509 b=6.509 c=6.509 alpha=102.60 beta=102.60 gamma=124.30
Sites, in units of the cell vectors:
1 Y 0.000 0.000 0.000
2 Y 0.750 0.250 0.500
3 Al 0.143 0.125 0.518
4 Al 0.375 0.857 0.982
5 Al 0.607 0.625 0.482
6 Al 0.875 0.393 0.018
7 Bi 0.250 0.750 0.500
8 Bi 0.500 0.500 0.000

Output
E: -4.853 eV per atom
E_form: -0.030 eV per atom
density of states at the Fermi level: 0.5238 states/eV/atom
magnetic moment: 0.00 μB per formula unit

16.
AlZnBi2: optimized geometry, PBEsol.

Unit cell a=5.121 b=5.121 c=5.121 alpha=60.00 beta=60.00 gamma=60.00
Sites, in units of the cell vectors:
1 Al 0.000 0.000 0.000
2 Zn 0.500 0.500 0.500
3 Bi 0.250 0.250 0.250
4 Bi 0.750 0.750 0.750

Output
E: -3.333 eV per atom
E_form: 0.228 eV per atom
density of states at the Fermi level: 0.6061 states/eV/atom
magnetic moment: 0.00 μB per formula unit

17.
ZrAl2Bi2: optimized geometry, PBEsol.

Unit cell a=8.778 b=8.778 c=8.778 alpha=155.00 beta=155.00 gamma=35.65
Sites, in units of the cell vectors:
1 Zr 0.000 0.000 0.000
2 Al 0.250 0.750 0.500
3 Al 0.750 0.250 0.500
4 Bi 0.403 0.403 0.000
5 Bi 0.597 0.597 0.000

Output
E: -5.072 eV per atom
E_form: 0.097 eV per atom
density of states at the Fermi level: 0.6096 states/eV/atom
magnetic moment: 0.00 μB per formula unit

18.
AlBr3: optimized geometry, PBEsol.

Unit cell a=6.674 b=11.797 c=8.589 alpha=90.00 beta=90.00 gamma=90.00
Sites, in units of the cell vectors:
1 Al 0.162 0.250 0.171
2 Al 0.338 0.750 0.671
3 Al 0.662 0.250 0.329
4 Al 0.838 0.750 0.829
5 Br 0.113 0.608 0.801
6 Br 0.113 0.892 0.801
7 Br 0.244 0.750 0.416
8 Br 0.256 0.250 0.916
9 Br 0.387 0.108 0.301
10 Br 0.387 0.392 0.301
11 Br 0.613 0.608 0.699
12 Br 0.613 0.892 0.699
13 Br 0.744 0.750 0.084
14 Br 0.756 0.250 0.584
15 Br 0.887 0.108 0.199
16 Br 0.887 0.392 0.199

Output
uncorrected formation energy: -1.0192 eV per atom
E: -3.445 eV per atom
density of states at the Fermi level: 0.0000 states/eV/atom
magnetic moment: 0.00 μB per formula unit

19.
AlBr: optimized geometry, PBEsol.

Unit cell a=4.857 b=4.857 c=5.096 alpha=90.00 beta=90.00 gamma=120.00
Sites, in units of the cell vectors:
1 Al 0.000 0.000 0.000
2 Al 0.000 0.000 0.500
3 Br 0.333 0.667 0.250
4 Br 0.667 0.333 0.750

Output
uncorrected formation energy: -0.2197 eV per atom
E: -3.200 eV per atom
density of states at the Fermi level: 0.0577 states/eV/atom
magnetic moment: 0.00 μB per formula unit

20.
AlBr: optimized geometry, PBEsol.

Unit cell a=5.206 b=3.698 c=5.204 alpha=90.00 beta=90.00 gamma=90.00
Sites, in units of the cell vectors:
1 Al 0.250 0.000 0.236
2 Al 0.750 0.000 0.764
3 Br 0.250 0.500 0.735
4 Br 0.750 0.500 0.265

Output
uncorrected formation energy: -0.0700 eV per atom
E: -3.051 eV per atom
density of states at the Fermi level: 0.0340 states/eV/atom
magnetic moment: 0.00 μB per formula unit